[1]
NiMoRu2 | GGA-PBEsol | optimized geometry

Cell: 4.5263 4.5263 2.7062 Å, 90.00 90.00 107.74°
Last column: nearest neighbours and their distance in Å.
Sites, in units of the cell vectors:
1 Ni 0.0000 0.0000 0.0000  8 Ru 2.64, 2 Mo 2.67, 2 Ni 2.71
2 Mo 0.5000 0.5000 0.0000  8 Ru 2.64, 2 Ni 2.67, 2 Mo 2.71
3 Ru 0.0000 0.5000 0.5000  4 Mo 2.64, 4 Ni 2.64, 4 Ru 2.67-2.71
4 Ru 0.5000 0.0000 0.5000  4 Mo 2.64, 4 Ni 2.64, 4 Ru 2.67-2.71

## Properties
Space group ... Cmmm (65)
Size of the total moment ... 0.0 μB per formula unit
ΔH_f (0 K) ... 134 meV/atom
Energy relative to the lowest polymorph listed for this composition ... 149 meV per atom



[2]
Ni2MoRu | GGA-PBEsol | optimized geometry

Cell: 4.1399 4.1399 4.1399 Å, 60.00 60.00 60.00°
Last column: nearest neighbours and their distance in Å.
Sites, in units of the cell vectors:
1 Ni 0.0000 0.0000 0.0000  4 Ru 2.54, 4 Ni 2.54
2 Ni 0.2500 0.2500 0.2500  4 Mo 2.54, 4 Ni 2.54
3 Mo 0.5000 0.5000 0.5000  4 Ni 2.54, 4 Ru 2.54
4 Ru 0.7500 0.7500 0.7500  4 Mo 2.54, 4 Ni 2.54

## Properties
Space group ... F-43m (216)
Size of the total moment ... 0.0 μB per formula unit
ΔH_f (0 K) ... 143 meV/atom



[3]
NiMoRu2 | GGA-PBEsol | optimized geometry

Cell: 3.7801 3.7801 3.6489 Å, 90.00 90.00 90.00°
Last column: nearest neighbours and their distance in Å.
Sites, in units of the cell vectors:
1 Ni 0.0000 0.0000 0.0000  8 Ru 2.63, 4 Mo 2.67
2 Mo 0.5000 0.5000 0.0000  8 Ru 2.63, 4 Ni 2.67
3 Ru 0.0000 0.5000 0.5000  4 Mo 2.63, 4 Ni 2.63, 4 Ru 2.67
4 Ru 0.5000 0.0000 0.5000  4 Mo 2.63, 4 Ni 2.63, 4 Ru 2.67

## Properties
Space group ... P4/mmm (123)
Size of the total moment ... 0.0 μB per formula unit
ΔH_f (0 K) ... -15 meV/atom
Energy relative to the lowest polymorph listed for this composition ... 0 meV per atom



[4]
Ni2MoRu | GGA-PBEsol | optimized geometry

Cell: 2.6425 4.1440 4.4811 Å, 90.00 90.00 90.00°
Last column: nearest neighbours and their distance in Å.
Sites, in units of the cell vectors:
1 Ni 0.0000 0.0000 0.0000  4 Ni 2.49-2.64, 4 Mo 2.57-2.64, 4 Ru 2.58
2 Ni 0.0000 0.5000 0.3089  4 Ni 2.49-2.64, 4 Ru 2.54-2.66, 4 Mo 2.59
3 Mo 0.5000 0.0000 0.4911  2 Ru 2.56, 8 Ni 2.57-2.64, 2 Mo 2.64
4 Ru 0.5000 0.5000 0.8250  8 Ni 2.54-2.66, 2 Mo 2.56, 2 Ru 2.64

## Properties
Space group ... Pmm2 (25)
Size of the total moment ... 0.0 μB per formula unit
ΔH_f (0 K) ... -16 meV/atom



[5]
Ni2MoRu | GGA-PBEsol | optimized geometry

Cell: 3.6131 3.6131 3.7563 Å, 90.00 90.00 90.00°
Last column: nearest neighbours and their distance in Å.
Sites, in units of the cell vectors:
1 Ni 0.0000 0.5000 0.0000  4 Ni 2.55, 4 Mo 2.61, 4 Ru 2.61
2 Ni 0.5000 0.0000 0.0000  4 Ni 2.55, 4 Mo 2.61, 4 Ru 2.61
3 Mo 0.0000 0.0000 0.5000  4 Ru 2.55, 8 Ni 2.61
4 Ru 0.5000 0.5000 0.5000  4 Mo 2.55, 8 Ni 2.61

## Properties
Space group ... P4/mmm (123)
Size of the total moment ... 0.0 μB per formula unit
ΔH_f (0 K) ... -32 meV/atom



[6]
NiMoRu2 | GGA-PBEsol | optimized geometry

Cell: 8.7045 8.7045 8.7045 Å, 17.68 17.68 17.68°
Last column: nearest neighbours and their distance in Å.
Sites, in units of the cell vectors:
1 Ni 0.0000 0.0000 0.0000  6 Ru 2.58, 6 Ni 2.68
2 Mo 0.5000 0.5000 0.5000  6 Mo 2.68, 6 Ru 2.70
3 Ru 0.2530 0.2530 0.2530  3 Ni 2.58, 6 Ru 2.68, 3 Mo 2.70
4 Ru 0.7470 0.7470 0.7470  3 Ni 2.58, 6 Ru 2.68, 3 Mo 2.70

## Properties
Space group ... R-3m (166)
Size of the total moment ... 0.3 μB per formula unit
ΔH_f (0 K) ... 176 meV/atom
Energy relative to the lowest polymorph listed for this composition ... 191 meV per atom



Q: ΔH_f (0 K) of number 2 (Ni2MoRu)?
A: 143 meV/atom



Q: Which of these has the lowest ΔH_f (0 K)?
A: number 5



Copy entry 5 word for word.
Ni2MoRu | GGA-PBEsol | optimized geometry

Cell: 3.6131 3.6131 3.7563 Å, 90.00 90.00 90.00°
Last column: nearest neighbours and their distance in Å.
Sites, in units of the cell vectors:
1 Ni 0.0000 0.5000 0.0000  4 Ni 2.55, 4 Mo 2.61, 4 Ru 2.61
2 Ni 0.5000 0.0000 0.0000  4 Ni 2.55, 4 Mo 2.61, 4 Ru 2.61
3 Mo 0.0000 0.0000 0.5000  4 Ru 2.55, 8 Ni 2.61
4 Ru 0.5000 0.5000 0.5000  4 Mo 2.55, 8 Ni 2.61

## Properties
Space group ... P4/mmm (123)
Size of the total moment ... 0.0 μB per formula unit
ΔH_f (0 K) ... -32 meV/atom



Q: What is the ΔH_f (0 K) in the fourth record?
A: -16 meV/atom